## Pr6NdY (GGA-PBE)

Data for crystalline Pr6NdY at its relaxed geometry.

The value obtained for the energy of formation is 13 meV/atom.

The structure belongs to space group Fmmm (No. 69); the cell edges are 7.416, 10.424 and 14.785 Å and the angles 90.00°, 90.00° and 90.00°. The asymmetric unit holds Pr at (0.000, 0.000, 0.250), Pr at (0.250, 0.250, 0.124), Nd at (0.000, 0.000, 0.000) and Y at (0.000, 0.000, 0.500).